Arrangement A

Entry from Alexandria via LeMat-Bulk: CsRb2MoBr6 after structural relaxation (GGA-PBE).

Output
The value obtained for the calculated density is 3.431 g/cm3.

a b c (Å): 8.442 8.442 8.442
angles (deg): 60.00 60.00 90.00
Last column: magnetic moment on the atom in μB.
Atoms (fractional coordinates):
Br1 0.718 0.718 0.000  0.01
Br2 0.282 0.282 0.437  0.01
Br3 0.718 0.282 0.000  0.01
Br4 0.718 0.718 0.563  0.01
Br5 0.282 0.718 0.000  0.01
Br6 0.282 0.282 0.000  0.01
Mo1 0.500 0.500 0.000  2.46
Rb1 0.750 0.250 0.500  0.00
Rb2 0.250 0.750 0.500  0.00
Cs1 0.000 0.000 0.000  0.00

Arrangement B

Entry from Alexandria via LeMat-Bulk: CsRb2MoBr6 after structural relaxation (GGA-PBE).

Output
The value obtained for the calculated density is 3.314 g/cm3.

a b c (Å): 7.704 9.693 11.800
angles (deg): 90.00 90.00 90.00
Last column: magnetic moment on the atom in μB.
Atoms (fractional coordinates):
Cs1 0.500 0.330 0.000  0.00
Cs2 0.000 0.670 0.500  0.00
Br1 0.267 0.980 0.500  0.01
Br2 0.244 0.635 0.000  0.02
Br3 0.733 0.980 0.500  0.01
Br4 0.233 0.020 0.000  0.01
Br5 0.767 0.020 0.000  0.01
Br6 0.756 0.635 0.000  0.02
Br7 0.500 0.183 0.722  0.01
Br8 0.500 0.183 0.278  0.01
Br9 0.744 0.365 0.500  0.02
Br10 0.256 0.365 0.500  0.02
Br11 0.000 0.817 0.778  0.01
Br12 0.000 0.817 0.222  0.01
Rb1 0.000 0.160 0.698  0.00
Rb2 0.500 0.840 0.802  0.00
Rb3 0.500 0.840 0.198  0.00
Rb4 0.000 0.160 0.302  0.00
Mo1 0.000 0.822 0.000  2.47
Mo2 0.500 0.178 0.500  2.47

The energetic minimum among the shown structures is arrangement B; the next structure lies 4.3 kJ/mol of atoms above.